# 1
Here is crystalline SmDyTeC at its relaxed geometry from Alexandria. Energies are from GGA-PBE.

Its raw formation energy is -803 meV/atom.

Lattice parameters (Å, degrees): 7.525 7.525 7.525 29.72 29.72 29.72
Sites, in units of the cell vectors:
Sm (0.000, 0.000, 0.000)
Dy (0.792, 0.792, 0.792)
Te (0.226, 0.226, 0.226)
C (0.398, 0.398, 0.398)

---

# 2
Here is crystalline ZnTe2Pt at its relaxed geometry from Alexandria. Energies are from GGA-PBE.

Its raw formation energy is 172 meV/atom.

Lattice parameters (Å, degrees): 5.274 5.274 3.073 90.00 90.00 90.00
Sites, in units of the cell vectors:
Zn (0.000, 0.000, 0.000)
Te (0.000, 0.500, 0.500)
Te (0.500, 0.000, 0.500)
Pt (0.500, 0.500, 0.000)

---

# 3
Here is crystalline Tm2CuGe6 at its relaxed geometry from Alexandria. Energies are from GGA-PBE.

The calculation puts the formation energy at -3.47 eV/f.u.

Lattice parameters (Å, degrees): 4.061 10.810 10.810 21.54 90.00 90.00
Sites, in units of the cell vectors:
Tm (0.000, 0.000, 0.000)
Tm (0.000, 0.337, 0.337)
Cu (0.500, 0.556, 0.556)
Ge (0.000, 0.617, 0.617)
Ge (0.000, 0.736, 0.736)
Ge (0.500, 0.117, 0.117)
Ge (0.500, 0.236, 0.236)
Ge (0.500, 0.447, 0.447)
Ge (0.500, 0.873, 0.873)

---

# 4
Here is crystalline MnCdH2Ru at its relaxed geometry from Alexandria. Energies are from GGA-PBE.

The calculation puts the total energy at -4.512 eV per atom.

Lattice parameters (Å, degrees): 3.718 3.718 4.869 90.00 90.00 90.00
Sites, in units of the cell vectors:
Mn (0.000, 0.000, 0.000)
Cd (0.500, 0.500, 0.500)
H (0.000, 0.500, 0.000)
H (0.500, 0.000, 0.000)
Ru (0.000, 0.000, 0.500)

---

# 5
Here is crystalline LiInPCl2 at its relaxed geometry from Alexandria. Energies are from GGA-PBE.

As for the energy above the lowest structure with this stoichiometry: 0.000 eV/atom. Its raw formation energy is -304 meV/atom.

Lattice parameters (Å, degrees): 5.377 5.377 5.111 90.00 90.00 90.00
Sites, in units of the cell vectors:
Li (0.000, 0.000, 0.000)
In (0.500, 0.500, 0.500)
P (0.500, 0.500, 0.000)
Cl (0.000, 0.500, 0.500)
Cl (0.500, 0.000, 0.500)

---

# 6
Here is crystalline PuTlAgO5 at its relaxed geometry from Alexandria. Energies are from GGA-PBE.

Its raw formation energy is -1400 meV/atom.

Lattice parameters (Å, degrees): 6.331 6.331 8.202 101.02 101.02 113.19
Sites, in units of the cell vectors:
Pu (0.000, 0.000, 0.000)
Pu (0.000, 0.000, 0.500)
Tl (0.317, 0.683, 0.750)
Tl (0.683, 0.317, 0.250)
Ag (0.322, 0.678, 0.250)
Ag (0.678, 0.322, 0.750)
O (0.057, 0.943, 0.750)
O (0.112, 0.764, 0.424)
O (0.236, 0.888, 0.076)
O (0.252, 0.323, 0.073)
O (0.323, 0.252, 0.573)
O (0.677, 0.748, 0.427)
O (0.748, 0.677, 0.927)
O (0.764, 0.112, 0.924)
O (0.888, 0.236, 0.576)
O (0.943, 0.057, 0.250)

---

# 7
Here is crystalline LiDy2Ga6 at its relaxed geometry from Alexandria. Energies are from GGA-PBE.

As for the energy above the lowest structure with this stoichiometry: 0.100 eV/atom. The calculation puts the formation energy at -3.23 eV/f.u.

Lattice parameters (Å, degrees): 7.804 7.804 7.804 148.13 127.57 62.68
Sites, in units of the cell vectors:
Li (0.000, 0.000, 0.000)
Dy (0.375, 0.875, 0.500)
Dy (0.625, 0.125, 0.500)
Ga (0.006, 0.315, 0.691)
Ga (0.303, 0.500, 0.803)
Ga (0.376, 0.685, 0.691)
Ga (0.624, 0.315, 0.309)
Ga (0.697, 0.500, 0.197)
Ga (0.994, 0.685, 0.309)

---

# 8
Here is crystalline Fe3CoSi at its relaxed geometry from Alexandria. Energies are from GGA-PBE.

As for the energy above the lowest structure with this stoichiometry: 0.000 eV/atom. Its raw formation energy is 859 meV/atom.

Lattice parameters (Å, degrees): 4.178 4.178 4.178 90.00 90.00 90.00
Sites, in units of the cell vectors:
Fe (0.000, 0.000, 0.500)
Fe (0.000, 0.500, 0.000)
Fe (0.500, 0.000, 0.000)
Co (0.500, 0.500, 0.500)
Si (0.000, 0.000, 0.000)

---

# 9
Here is crystalline Ba2AgPdS at its relaxed geometry from Alexandria. Energies are from GGA-PBE.

As for the energy above the lowest structure with this stoichiometry: 0.000 eV/atom. Its raw formation energy is -737 meV/atom.

Lattice parameters (Å, degrees): 6.097 6.097 4.565 90.00 90.00 90.00
Sites, in units of the cell vectors:
Ba (0.000, 0.500, 0.000)
Ba (0.500, 0.000, 0.000)
Ag (0.000, 0.000, 0.500)
Pd (0.500, 0.500, 0.500)
S (0.500, 0.500, 0.000)

---

# 10
Here is crystalline RbCuRe2P at its relaxed geometry from Alexandria. Energies are from GGA-PBE.

The calculation puts the formation energy at 19.54 eV/f.u.

Lattice parameters (Å, degrees): 4.853 4.853 5.067 90.00 90.00 90.00
Sites, in units of the cell vectors:
Rb (0.000, 0.000, 0.000)
Cu (0.500, 0.500, 0.500)
Re (0.000, 0.500, 0.000)
Re (0.500, 0.000, 0.000)
P (0.000, 0.000, 0.500)

---

# 11
Here is crystalline AlCo2H2 at its relaxed geometry from Alexandria. Energies are from GGA-PBE.

As for the energy above the lowest structure with this stoichiometry: 0.234 eV/atom.

Lattice parameters (Å, degrees): 5.605 5.605 2.740 90.00 90.00 90.00
Sites, in units of the cell vectors:
Al (0.000, 0.000, 0.000)
Al (0.500, 0.500, 0.000)
Co (0.241, 0.259, 0.500)
Co (0.259, 0.759, 0.500)
Co (0.741, 0.241, 0.500)
Co (0.759, 0.741, 0.500)
H (0.145, 0.645, 0.000)
H (0.355, 0.145, 0.000)
H (0.645, 0.855, 0.000)
H (0.855, 0.355, 0.000)

---

# 12
Here is crystalline Ti5In4Pd at its relaxed geometry from Alexandria. Energies are from GGA-PBE.

The calculation puts the formation energy at -2.18 eV/f.u.

Lattice parameters (Å, degrees): 2.975 2.975 20.824 90.00 90.00 90.00
Sites, in units of the cell vectors:
Ti (0.000, 0.000, 0.000)
Ti (0.000, 0.000, 0.206)
Ti (0.000, 0.000, 0.413)
Ti (0.000, 0.000, 0.587)
Ti (0.000, 0.000, 0.794)
In (0.500, 0.500, 0.103)
In (0.500, 0.500, 0.309)
In (0.500, 0.500, 0.691)
In (0.500, 0.500, 0.897)
Pd (0.500, 0.500, 0.500)

---

# 13
Here is crystalline Tb2NiGePt6 at its relaxed geometry from Alexandria. Energies are from GGA-PBE.

The calculation puts the formation energy at -7.26 eV/f.u.

Lattice parameters (Å, degrees): 6.367 6.367 7.716 125.95 125.95 50.39
Sites, in units of the cell vectors:
Tb (0.001, 0.001, 0.238)
Tb (0.999, 0.999, 0.762)
Ni (0.500, 0.500, 0.000)
Ge (0.500, 0.500, 0.500)
Pt (0.002, 0.496, 0.804)
Pt (0.331, 0.331, 0.584)
Pt (0.496, 0.002, 0.804)
Pt (0.504, 0.998, 0.196)
Pt (0.669, 0.669, 0.416)
Pt (0.998, 0.504, 0.196)

---

# 14
Here is crystalline Na2NdGaSe4 at its relaxed geometry from Alexandria. Energies are from GGA-PBE.

Its raw formation energy is -1135 meV/atom.

Lattice parameters (Å, degrees): 8.323 8.323 7.947 118.43 118.43 90.94
Sites, in units of the cell vectors:
Na (0.000, 0.000, 0.000)
Na (0.000, 0.000, 0.500)
Na (0.000, 0.500, 0.000)
Na (0.500, 0.000, 0.500)
Nd (0.000, 0.500, 0.500)
Nd (0.500, 0.000, 0.000)
Ga (0.500, 0.500, 0.000)
Ga (0.500, 0.500, 0.500)
Se (0.255, 0.745, 0.000)
Se (0.255, 0.745, 0.500)
Se (0.292, 0.294, 0.039)
Se (0.294, 0.292, 0.539)
Se (0.706, 0.708, 0.461)
Se (0.708, 0.706, 0.961)
Se (0.745, 0.255, 0.000)
Se (0.745, 0.255, 0.500)

---

# 15
Here is crystalline Tm2MgIn3 at its relaxed geometry from Alexandria. Energies are from GGA-PBE.

The calculation puts the formation energy at -2.13 eV/f.u.

Lattice parameters (Å, degrees): 9.967 9.295 6.044 77.89 65.75 36.36
Sites, in units of the cell vectors:
Tm (0.248, 0.752, 0.752)
Tm (0.250, 0.250, 0.250)
Tm (0.750, 0.750, 0.750)
Tm (0.752, 0.248, 0.248)
Mg (0.333, 0.333, 0.667)
Mg (0.667, 0.667, 0.333)
In (0.169, 0.169, 0.831)
In (0.169, 0.662, 0.338)
In (0.338, 0.831, 0.169)
In (0.662, 0.169, 0.831)
In (0.831, 0.338, 0.662)
In (0.831, 0.831, 0.169)

---

# 16
Here is crystalline ReRuSe2 at its relaxed geometry from Alexandria. Energies are from GGA-PBE.

As for the energy above the lowest structure with this stoichiometry: 0.121 eV/atom. Its raw formation energy is 165 meV/atom.

Lattice parameters (Å, degrees): 2.861 3.959 7.081 90.00 93.10 90.00
Sites, in units of the cell vectors:
Re (0.000, 0.000, 0.000)
Ru (0.516, 0.500, 0.147)
Se (0.224, 0.000, 0.347)
Se (0.768, 0.500, 0.788)

---

# 17
Here is crystalline TeO at its relaxed geometry from Alexandria. Energies are from GGA-PBE.

As for the energy above the lowest structure with this stoichiometry: 0.279 eV/atom. Its raw formation energy is -263 meV/atom.

Lattice parameters (Å, degrees): 7.446 7.030 5.052 74.06 65.21 40.73
Sites, in units of the cell vectors:
Te (0.109, 0.641, 0.641)
Te (0.359, 0.891, 0.891)
Te (0.641, 0.109, 0.109)
Te (0.891, 0.359, 0.359)
O (0.175, 0.175, 0.575)
O (0.425, 0.425, 0.825)
O (0.575, 0.575, 0.175)
O (0.825, 0.825, 0.425)

---

# 18
Here is crystalline Tb4PmPb5 at its relaxed geometry from Alexandria. Energies are from GGA-PBE.

The calculation puts the formation energy at -3.61 eV/f.u.

Lattice parameters (Å, degrees): 7.765 7.765 7.765 99.59 99.59 131.83
Sites, in units of the cell vectors:
Tb (0.102, 0.701, 0.802)
Tb (0.299, 0.102, 0.401)
Tb (0.701, 0.898, 0.599)
Tb (0.898, 0.299, 0.198)
Pm (0.500, 0.500, 0.000)
Pb (0.000, 0.000, 0.000)
Pb (0.197, 0.400, 0.597)
Pb (0.400, 0.803, 0.203)
Pb (0.600, 0.197, 0.797)
Pb (0.803, 0.600, 0.403)

---

# 19
Here is crystalline Si5As at its relaxed geometry from Alexandria. Energies are from GGA-PBE.

As for the energy above the lowest structure with this stoichiometry: 0.292 eV/atom. Its raw formation energy is 617 meV/atom.

Lattice parameters (Å, degrees): 4.883 4.883 4.844 90.00 90.00 120.00
Sites, in units of the cell vectors:
Si (0.000, 0.500, 0.000)
Si (0.333, 0.667, 0.500)
Si (0.500, 0.000, 0.000)
Si (0.500, 0.500, 0.000)
Si (0.667, 0.333, 0.500)
As (0.000, 0.000, 0.500)

---

# 20
Here is crystalline PaSi2TcRu at its relaxed geometry from Alexandria. Energies are from GGA-PBE.

Its raw formation energy is -722 meV/atom.

Lattice parameters (Å, degrees): 5.602 5.602 5.602 135.80 135.80 64.28
Sites, in units of the cell vectors:
Pa (0.000, 0.000, 0.000)
Si (0.372, 0.372, 0.000)
Si (0.628, 0.628, 0.000)
Tc (0.750, 0.250, 0.500)
Ru (0.250, 0.750, 0.500)

---

# 21
Here is crystalline AcTbB4 at its relaxed geometry from Alexandria. Energies are from GGA-PBE.

The calculation puts the formation energy at -1.42 eV/f.u.

Lattice parameters (Å, degrees): 8.000 12.235 3.806 90.00 90.00 90.00
Sites, in units of the cell vectors:
Ac (0.167, 0.151, 0.000)
Ac (0.333, 0.651, 0.000)
Ac (0.667, 0.349, 0.000)
Ac (0.833, 0.849, 0.000)
Tb (0.172, 0.408, 0.000)
Tb (0.328, 0.908, 0.000)
Tb (0.672, 0.092, 0.000)
Tb (0.828, 0.592, 0.000)
B (0.040, 0.692, 0.500)
B (0.052, 0.558, 0.500)
B (0.067, 0.948, 0.500)
B (0.104, 0.818, 0.500)
B (0.396, 0.318, 0.500)
B (0.433, 0.448, 0.500)
B (0.448, 0.058, 0.500)
B (0.460, 0.192, 0.500)
B (0.540, 0.808, 0.500)
B (0.552, 0.942, 0.500)
B (0.567, 0.552, 0.500)
B (0.604, 0.682, 0.500)
B (0.896, 0.182, 0.500)
B (0.933, 0.052, 0.500)
B (0.948, 0.442, 0.500)
B (0.960, 0.308, 0.500)

---

# 22
Here is crystalline Zn2SiAu at its relaxed geometry from Alexandria. Energies are from GGA-PBE.

Its raw formation energy is 124 meV/atom.

Lattice parameters (Å, degrees): 2.808 3.897 5.855 90.00 90.00 90.00
Sites, in units of the cell vectors:
Zn (0.000, 0.000, 0.000)
Zn (0.500, 0.500, 0.245)
Si (0.500, 0.500, 0.771)
Au (0.000, 0.000, 0.489)

---

# 23
Here is crystalline MgZrCr at its relaxed geometry from Alexandria. Energies are from GGA-PBE.

As for the energy above the lowest structure with this stoichiometry: 0.319 eV/atom. The calculation puts the formation energy at 1.12 eV/f.u.

Lattice parameters (Å, degrees): 4.750 4.750 3.011 90.00 90.00 120.00
Sites, in units of the cell vectors:
Mg (0.000, 0.000, 0.000)
Zr (0.667, 0.333, 0.440)
Cr (0.333, 0.667, 0.852)